Record 1
# KAg3Au

A relaxed structure of KAg3Au (PBE, Alexandria via LeMat-Bulk).

Formation enthalpy at 0 K   0.197 eV per atom
Final energy   -2.389 eV/atom
ΔE to the lowest computed polymorph   1.098 eV per formula unit

Cell lengths 5.2943, 5.2943, 5.2943 Å; angles 90.00, 90.00, 90.00 degrees
Atoms (fractional coordinates):
K  0.0000  0.0000  0.0000
Ag  0.0000  0.5000  0.5000
Ag  0.5000  0.0000  0.5000
Ag  0.5000  0.5000  0.0000
Au  0.5000  0.5000  0.5000

---

Record 2
# NbTeOsI2

A relaxed structure of NbTeOsI2 (PBE, Alexandria via LeMat-Bulk).

Final energy   -4.092 eV/atom
Formation energy from raw total energies   1.42 eV/atom
ΔE to the lowest computed polymorph   0.798 eV per formula unit

Cell lengths 5.5654, 5.5654, 5.3940 Å; angles 90.00, 90.00, 90.00 degrees
Atoms (fractional coordinates):
Nb  0.0000  0.0000  0.0000
Te  0.0000  0.0000  0.5000
Os  0.5000  0.5000  0.5000
I  0.0000  0.5000  0.0000
I  0.5000  0.0000  0.0000